Density functional theory data (PBEsol) for a relaxed structure of Na3YB2O6.

Cell lengths 6.5055, 8.4736, 12.0253 Å; angles 90.00, 118.66, 90.00 degrees
Last column: nearest neighbours and their distance in Å.
Space group P2_1/c (No. 14)
One atom of each set of equivalent atoms:
1 Na 0.0628 0.2021 0.0717 [4 per cell]  6 O 2.29-2.51
2 Na 0.3245 0.5550 0.1150 [4 per cell]  4 O 2.28-2.40
3 Na 0.3972 0.6991 0.3854 [4 per cell]  4 O 2.32-2.58
4 Y 0.0936 0.1276 0.8279 [4 per cell]  7 O 2.23-2.38
5 B 0.1679 0.0578 0.3800 [4 per cell]  3 O 1.37-1.41
6 B 0.3632 0.5885 0.6234 [4 per cell]  3 O 1.39
7 O 0.0744 0.1166 0.2557 [4 per cell]  1 B 1.41
8 O 0.1422 0.6008 0.8938 [4 per cell]  1 B 1.37
9 O 0.2362 0.6890 0.6590 [4 per cell]  1 B 1.39
10 O 0.2517 0.5080 0.5089 [4 per cell]  1 B 1.39
11 O 0.2662 0.1651 0.4775 [4 per cell]  1 B 1.38
12 O 0.3979 0.0673 0.7990 [4 per cell]  1 B 1.39

Output
Total magnetic moment ... 0.00 μB per formula unit
Raw total energy ... -86.61 eV per formula unit
ΔE_f (raw) ... -2505 meV per atom